# 1
PdS2N (PBE-GGA, relaxed); ΔE_f (raw) = 300 meV/atom
1.0
2.228 0.000 5.502
-1.114 1.929 5.502
-1.114 -1.929 5.502
S Pd N
2 1 1
direct
0.905 0.905 0.905
0.095 0.095 0.095
0.500 0.500 0.500
0.000 0.000 0.000


# 2
LuSc2Pb (PBE-GGA, relaxed); uncorrected energy = -21.52 eV for the cell shown
1.0
-0.439 -0.788 -3.423
-1.161 -3.223 0.891
-7.716 2.870 0.329
Pb Sc Lu
1 2 1
direct
0.500 0.500 0.000
0.000 0.000 0.761
0.000 0.000 0.239
0.500 0.500 0.500